# SmDy6Sc3 GGA-PBE optimized geometry
# Magnetic moment in Bohr magnetons per cell: 0.00
# DFT total energy in hartree per atom: -0.183
# Energy of formation from the pure elements in eV/atom: 0.1652
# Calculated volume in Å³/atom: 29.9
# SG: Cmc2_1
data_SmDy6Sc3
_symmetry_space_group_name_H-M 'P 1'
_symmetry_Int_Tables_number 1
_cell_length_a 6.2277
_cell_length_b 10.6791
_cell_length_c 10.6791
_cell_angle_alpha 122.68
_cell_angle_beta 90.00
_cell_angle_gamma 90.00
loop_
_symmetry_equiv_pos_as_xyz
'x,y,z'
loop_
_atom_site_label
_atom_site_type_symbol
_atom_site_fract_x
_atom_site_fract_y
_atom_site_fract_z
Dy1 Dy 0.8490 0.0447 0.9553
Dy2 Dy 0.1748 0.6890 0.3110
Dy3 Dy 0.5300 0.2954 0.3647
Dy4 Dy 0.5300 0.6353 0.7046
Dy5 Dy 0.3490 0.9553 0.0447
Dy6 Dy 0.0300 0.7046 0.6353
Dy7 Dy 0.8593 0.4353 0.0309
Dy8 Dy 0.3593 0.0309 0.4353
Dy9 Dy 0.6748 0.3110 0.6890
Dy10 Dy 0.8593 0.9691 0.5647
Dy11 Dy 0.3593 0.5647 0.9691
Dy12 Dy 0.0300 0.3647 0.2954
Sc1 Sc 0.1332 0.3853 0.6147
Sc2 Sc 0.9235 0.6900 0.9214
Sc3 Sc 0.9235 0.0786 0.3100
Sc4 Sc 0.4235 0.3100 0.0786
Sc5 Sc 0.6332 0.6147 0.3853
Sc6 Sc 0.4235 0.9214 0.6900
Sm1 Sm 0.7029 0.7880 0.2120
Sm2 Sm 0.2029 0.2120 0.7880